No. 1
DFT (PBE) results for crystalline HfTa2W at its relaxed geometry.

```
data_HfTa2W
_chemical_formula_sum 'Hf4 Ta8 W4'
_cell_length_a 6.6376
_cell_length_b 6.6376
_cell_length_c 6.6376
_cell_angle_alpha 90.00
_cell_angle_beta 90.00
_cell_angle_gamma 90.00
_symmetry_space_group_name_H-M 'F -4 3 m'
_symmetry_Int_Tables_number 216
_symmetry_space_group_name_Hall 'F -4 2 3'
loop_
_atom_site_label
_atom_site_type_symbol
_atom_site_fract_x
_atom_site_fract_y
_atom_site_fract_z
Hf1 Hf 0.0000 0.0000 0.0000
Ta1 Ta 0.0000 0.0000 0.5000
Ta2 Ta 0.2500 0.2500 0.2500
W1 W 0.2500 0.2500 0.7500
```

Values from the calculation:
The energy of formation is 0.079 eV per atom. Its calculated volume is 292.4 Å³ per cell.

No. 2
DFT (PBE) results for crystalline Nb10Si2Ni at its relaxed geometry.

```
data_Nb10Si2Ni
_chemical_formula_sum 'Nb30 Si6 Ni3'
_cell_length_a 5.2771
_cell_length_b 5.2771
_cell_length_c 28.2711
_cell_angle_alpha 90.00
_cell_angle_beta 90.00
_cell_angle_gamma 120.00
_symmetry_space_group_name_H-M 'R -3 m'
_symmetry_Int_Tables_number 166
_symmetry_space_group_name_Hall '-R 3 2"'
loop_
_atom_site_label
_atom_site_type_symbol
_atom_site_fract_x
_atom_site_fract_y
_atom_site_fract_z
Nb1 Nb 0.0000 0.0000 0.1506
Nb2 Nb 0.0000 0.0000 0.3341
Nb3 Nb 0.0024 0.5012 0.9098
Si1 Si 0.0000 0.0000 0.0476
Ni1 Ni 0.0000 0.0000 0.5000
```

Values from the calculation:
Its calculated volume is 681.8 Å³ per cell. For the calculated total energy, the calculation gives -8.96 eV/atom.

No. 3
DFT (PBE) results for crystalline HoTe2PS2 at its relaxed geometry.

```
data_HoTe2PS2
_chemical_formula_sum 'Ho2 Te4 P2 S4'
_cell_length_a 6.8330
_cell_length_b 6.9518
_cell_length_c 8.1883
_cell_angle_alpha 93.41
_cell_angle_beta 90.68
_cell_angle_gamma 101.03
_symmetry_space_group_name_H-M 'P -1'
_symmetry_Int_Tables_number 2
loop_
_symmetry_equiv_pos_as_xyz
'x,y,z'
'-x,-y,-z'
loop_
_atom_site_label
_atom_site_type_symbol
_atom_site_fract_x
_atom_site_fract_y
_atom_site_fract_z
Ho1 Ho 0.2133 0.3099 0.4448
Te1 Te 0.1233 0.0187 0.7324
Te2 Te 0.4172 0.2374 0.1208
P1 P 0.3009 0.7386 0.6911
S1 S 0.0651 0.5021 0.7165
S2 S 0.3972 0.7118 0.4509
```

Values from the calculation:
Its calculated volume is 381.0 Å³ per cell. For the calculated total energy, the calculation gives -4.81 eV/atom.

No. 4
DFT (PBE) results for crystalline ErThCu at its relaxed geometry.

```
data_ErThCu
_chemical_formula_sum 'Er4 Th4 Cu4'
_cell_length_a 6.8350
_cell_length_b 6.8350
_cell_length_c 6.8350
_cell_angle_alpha 90.00
_cell_angle_beta 90.00
_cell_angle_gamma 90.00
_symmetry_space_group_name_H-M 'F -4 3 m'
_symmetry_Int_Tables_number 216
_symmetry_space_group_name_Hall 'F -4 2 3'
loop_
_atom_site_label
_atom_site_type_symbol
_atom_site_fract_x
_atom_site_fract_y
_atom_site_fract_z
Er1 Er 0.0000 0.0000 0.0000
Th1 Th 0.0000 0.0000 0.5000
Cu1 Cu 0.2500 0.2500 0.2500
```

Values from the calculation:
The energy of formation is 0.166 eV per atom. Its calculated volume is 319.3 Å³ per cell.

No. 5
DFT (PBE) results for crystalline ScAgGeO3 at its relaxed geometry.

```
data_ScAgGeO3
_chemical_formula_sum 'Sc4 Ag4 Ge4 O12'
_cell_length_a 2.8835
_cell_length_b 16.5756
_cell_length_c 6.2342
_cell_angle_alpha 90.00
_cell_angle_beta 90.00
_cell_angle_gamma 90.00
_symmetry_space_group_name_H-M 'C m c m'
_symmetry_Int_Tables_number 63
_symmetry_space_group_name_Hall '-C 2c 2'
loop_
_atom_site_label
_atom_site_type_symbol
_atom_site_fract_x
_atom_site_fract_y
_atom_site_fract_z
Sc1 Sc 0.0000 0.0000 0.0000
Ag1 Ag 0.0000 0.3054 0.2500
Ge1 Ge 0.0000 0.3315 0.7500
O1 O 0.0000 0.1248 0.0503
O2 O 0.0000 0.4907 0.2500
```

Values from the calculation:
Its calculated volume is 298.0 Å³ per cell. For the calculated total energy, the calculation gives -6.53 eV/atom.

No. 6
DFT (PBE) results for crystalline TbTlCdTe3 at its relaxed geometry.

```
data_TbTlCdTe3
_chemical_formula_sum 'Tb4 Tl4 Cd4 Te12'
_cell_length_a 13.0377
_cell_length_b 4.5667
_cell_length_c 13.5386
_cell_angle_alpha 90.00
_cell_angle_beta 90.00
_cell_angle_gamma 90.00
_symmetry_space_group_name_H-M 'P n m a'
_symmetry_Int_Tables_number 62
loop_
_symmetry_equiv_pos_as_xyz
'x,y,z'
'-x,-y,-z'
'-x+1/2,-y,z+1/2'
'x+1/2,y,-z+1/2'
'x+1/2,-y+1/2,-z+1/2'
'-x+1/2,y+1/2,z+1/2'
'-x,y+1/2,-z'
'x,-y+1/2,z'
loop_
_atom_site_label
_atom_site_type_symbol
_atom_site_fract_x
_atom_site_fract_y
_atom_site_fract_z
Tb1 Tb 0.0317 0.2500 0.1743
Tl1 Tl 0.1648 0.2500 0.4929
Cd1 Cd 0.2473 0.7500 0.2981
Te1 Te 0.0322 0.7500 0.3378
Te2 Te 0.0896 0.2500 0.9353
Te3 Te 0.2317 0.7500 0.6717
```

Values from the calculation:
Its calculated volume is 806.1 Å³ per cell. For the calculated total energy, the calculation gives -3.65 eV/atom.

No. 7
DFT (PBE) results for crystalline Bi2SbIr at its relaxed geometry.

```
data_Bi2SbIr
_chemical_formula_sum 'Bi8 Sb4 Ir4'
_cell_length_a 7.2942
_cell_length_b 7.2942
_cell_length_c 7.2942
_cell_angle_alpha 90.00
_cell_angle_beta 90.00
_cell_angle_gamma 90.00
_symmetry_space_group_name_H-M 'F -4 3 m'
_symmetry_Int_Tables_number 216
_symmetry_space_group_name_Hall 'F -4 2 3'
loop_
_atom_site_label
_atom_site_type_symbol
_atom_site_fract_x
_atom_site_fract_y
_atom_site_fract_z
Bi1 Bi 0.0000 0.0000 0.0000
Bi2 Bi 0.2500 0.2500 0.2500
Sb1 Sb 0.0000 0.0000 0.5000
Ir1 Ir 0.2500 0.2500 0.7500
```

Values from the calculation:
Its calculated volume is 388.1 Å³ per cell. For the calculated total energy, the calculation gives -4.75 eV/atom.

No. 8
DFT (PBE) results for crystalline ErMoW at its relaxed geometry.

```
data_ErMoW
_chemical_formula_sum 'Er4 Mo4 W4'
_cell_length_a 6.4478
_cell_length_b 6.4478
_cell_length_c 6.4478
_cell_angle_alpha 90.00
_cell_angle_beta 90.00
_cell_angle_gamma 90.00
_symmetry_space_group_name_H-M 'F -4 3 m'
_symmetry_Int_Tables_number 216
_symmetry_space_group_name_Hall 'F -4 2 3'
loop_
_atom_site_label
_atom_site_type_symbol
_atom_site_fract_x
_atom_site_fract_y
_atom_site_fract_z
Er1 Er 0.0000 0.0000 0.0000
Mo1 Mo 0.2500 0.2500 0.7500
W1 W 0.2500 0.2500 0.2500
```

Values from the calculation:
The energy of formation is 1.936 eV per atom. Its calculated volume is 268.1 Å³ per cell.

No. 9
DFT (PBE) results for crystalline NaYNiGe at its relaxed geometry.

```
data_NaYNiGe
_chemical_formula_sum 'Na4 Y4 Ni4 Ge4'
_cell_length_a 6.5418
_cell_length_b 6.5418
_cell_length_c 6.5418
_cell_angle_alpha 90.00
_cell_angle_beta 90.00
_cell_angle_gamma 90.00
_symmetry_space_group_name_H-M 'F -4 3 m'
_symmetry_Int_Tables_number 216
_symmetry_space_group_name_Hall 'F -4 2 3'
loop_
_atom_site_label
_atom_site_type_symbol
_atom_site_fract_x
_atom_site_fract_y
_atom_site_fract_z
Na1 Na 0.0000 0.0000 0.0000
Y1 Y 0.2500 0.2500 0.7500
Ni1 Ni 0.0000 0.0000 0.5000
Ge1 Ge 0.2500 0.2500 0.2500
```

Values from the calculation:
Its calculated volume is 280.0 Å³ per cell. For the calculated total energy, the calculation gives -4.72 eV/atom.

No. 10
DFT (PBE) results for crystalline YTa2Bi at its relaxed geometry.

```
data_YTa2Bi
_chemical_formula_sum 'Y4 Ta8 Bi4'
_cell_length_a 7.0609
_cell_length_b 7.0609
_cell_length_c 7.0609
_cell_angle_alpha 90.00
_cell_angle_beta 90.00
_cell_angle_gamma 90.00
_symmetry_space_group_name_H-M 'F -4 3 m'
_symmetry_Int_Tables_number 216
_symmetry_space_group_name_Hall 'F -4 2 3'
loop_
_atom_site_label
_atom_site_type_symbol
_atom_site_fract_x
_atom_site_fract_y
_atom_site_fract_z
Y1 Y 0.0000 0.0000 0.0000
Ta1 Ta 0.0000 0.0000 0.5000
Ta2 Ta 0.2500 0.2500 0.2500
Bi1 Bi 0.2500 0.2500 0.7500
```

Values from the calculation:
Its calculated volume is 352.0 Å³ per cell. For the calculated total energy, the calculation gives -8.21 eV/atom.

No. 11
DFT (PBE) results for crystalline RbReHg at its relaxed geometry.

```
data_RbReHg
_chemical_formula_sum 'Rb4 Re4 Hg4'
_cell_length_a 7.4208
_cell_length_b 7.4208
_cell_length_c 7.4208
_cell_angle_alpha 90.00
_cell_angle_beta 90.00
_cell_angle_gamma 90.00
_symmetry_space_group_name_H-M 'F -4 3 m'
_symmetry_Int_Tables_number 216
_symmetry_space_group_name_Hall 'F -4 2 3'
loop_
_atom_site_label
_atom_site_type_symbol
_atom_site_fract_x
_atom_site_fract_y
_atom_site_fract_z
Rb1 Rb 0.0000 0.0000 0.0000
Re1 Re 0.0000 0.0000 0.5000
Hg1 Hg 0.2500 0.2500 0.2500
```

Values from the calculation:
Its calculated volume is 408.6 Å³ per cell. For the calculated total energy, the calculation gives -2.71 eV/atom.

No. 12
DFT (PBE) results for crystalline Tb3Ni at its relaxed geometry.

```
data_Tb3Ni
_chemical_formula_sum 'Tb6 Ni2'
_cell_length_a 7.0715
_cell_length_b 7.0715
_cell_length_c 4.6316
_cell_angle_alpha 90.00
_cell_angle_beta 90.00
_cell_angle_gamma 120.00
_symmetry_space_group_name_H-M 'P 63/m m c'
_symmetry_Int_Tables_number 194
_symmetry_space_group_name_Hall '-P 6c 2c'
loop_
_atom_site_label
_atom_site_type_symbol
_atom_site_fract_x
_atom_site_fract_y
_atom_site_fract_z
Tb1 Tb 0.1834 0.3668 0.2500
Ni1 Ni 0.3333 0.6667 0.7500
```

Values from the calculation:
The energy of formation is 0.065 eV per atom. Its calculated volume is 200.6 Å³ per cell.

No. 13
DFT (PBE) results for crystalline Be2WAu at its relaxed geometry.

```
data_Be2WAu
_chemical_formula_sum 'Be8 W4 Au4'
_cell_length_a 6.0476
_cell_length_b 6.0476
_cell_length_c 6.0476
_cell_angle_alpha 90.00
_cell_angle_beta 90.00
_cell_angle_gamma 90.00
_symmetry_space_group_name_H-M 'F -4 3 m'
_symmetry_Int_Tables_number 216
_symmetry_space_group_name_Hall 'F -4 2 3'
loop_
_atom_site_label
_atom_site_type_symbol
_atom_site_fract_x
_atom_site_fract_y
_atom_site_fract_z
Be1 Be 0.0000 0.0000 0.0000
Be2 Be 0.2500 0.2500 0.2500
W1 W 0.0000 0.0000 0.5000
Au1 Au 0.2500 0.2500 0.7500
```

Values from the calculation:
Its calculated volume is 221.2 Å³ per cell. For the calculated total energy, the calculation gives -5.26 eV/atom.

No. 14
DFT (PBE) results for crystalline NaInSiNi at its relaxed geometry.

```
data_NaInSiNi
_chemical_formula_sum 'Na4 In4 Si4 Ni4'
_cell_length_a 6.4205
_cell_length_b 6.4205
_cell_length_c 6.4205
_cell_angle_alpha 90.00
_cell_angle_beta 90.00
_cell_angle_gamma 90.00
_symmetry_space_group_name_H-M 'F -4 3 m'
_symmetry_Int_Tables_number 216
_symmetry_space_group_name_Hall 'F -4 2 3'
loop_
_atom_site_label
_atom_site_type_symbol
_atom_site_fract_x
_atom_site_fract_y
_atom_site_fract_z
Na1 Na 0.0000 0.0000 0.0000
In1 In 0.2500 0.2500 0.2500
Si1 Si 0.2500 0.2500 0.7500
Ni1 Ni 0.0000 0.0000 0.5000
```

Values from the calculation:
Its calculated volume is 264.7 Å³ per cell. For the calculated total energy, the calculation gives -3.58 eV/atom.

No. 15
DFT (PBE) results for crystalline NbCd3Br6 at its relaxed geometry.

```
data_NbCd3Br6
_chemical_formula_sum 'Nb1 Cd3 Br6'
_cell_length_a 6.2800
_cell_length_b 6.2800
_cell_length_c 8.4732
_cell_angle_alpha 90.00
_cell_angle_beta 90.00
_cell_angle_gamma 120.00
_symmetry_space_group_name_H-M 'P -3 1 m'
_symmetry_Int_Tables_number 162
_symmetry_space_group_name_Hall '-P 3 2'
loop_
_atom_site_label
_atom_site_type_symbol
_atom_site_fract_x
_atom_site_fract_y
_atom_site_fract_z
Nb1 Nb 0.0000 0.0000 0.0000
Cd1 Cd 0.0000 0.0000 0.5000
Cd2 Cd 0.3333 0.6667 0.5000
Br1 Br 0.0000 0.3255 0.8218
```

Values from the calculation:
Its calculated volume is 289.4 Å³ per cell. For the calculated total energy, the calculation gives -2.73 eV/atom.

No. 16
DFT (PBE) results for crystalline Ho2TmFe3Co6 at its relaxed geometry.

```
data_Ho2TmFe3Co6
_chemical_formula_sum 'Ho6 Tm3 Fe9 Co18'
_cell_length_a 5.0427
_cell_length_b 5.0427
_cell_length_c 23.6052
_cell_angle_alpha 90.00
_cell_angle_beta 90.00
_cell_angle_gamma 120.00
_symmetry_space_group_name_H-M 'R -3 m'
_symmetry_Int_Tables_number 166
_symmetry_space_group_name_Hall '-R 3 2"'
loop_
_atom_site_label
_atom_site_type_symbol
_atom_site_fract_x
_atom_site_fract_y
_atom_site_fract_z
Ho1 Ho 0.0000 0.0000 0.1407
Tm1 Tm 0.0000 0.0000 0.0000
Fe1 Fe 0.0000 0.0000 0.3334
Fe2 Fe 0.0000 0.0000 0.5000
Co1 Co 0.0012 0.5006 0.9183
```

Values from the calculation:
The energy of formation is -0.199 eV per atom. Its calculated volume is 519.8 Å³ per cell.

No. 17
DFT (PBE) results for crystalline NbTlPb2 at its relaxed geometry.

```
data_NbTlPb2
_chemical_formula_sum 'Nb4 Tl4 Pb8'
_cell_length_a 7.4965
_cell_length_b 7.4965
_cell_length_c 7.4965
_cell_angle_alpha 90.00
_cell_angle_beta 90.00
_cell_angle_gamma 90.00
_symmetry_space_group_name_H-M 'F -4 3 m'
_symmetry_Int_Tables_number 216
_symmetry_space_group_name_Hall 'F -4 2 3'
loop_
_atom_site_label
_atom_site_type_symbol
_atom_site_fract_x
_atom_site_fract_y
_atom_site_fract_z
Nb1 Nb 0.0000 0.0000 0.0000
Tl1 Tl 0.2500 0.2500 0.2500
Pb1 Pb 0.0000 0.0000 0.5000
Pb2 Pb 0.2500 0.2500 0.7500
```

Values from the calculation:
Its calculated volume is 421.3 Å³ per cell. For the calculated total energy, the calculation gives -4.32 eV/atom.

No. 18
DFT (PBE) results for crystalline ZrPaPd at its relaxed geometry.

```
data_ZrPaPd
_chemical_formula_sum 'Zr4 Pa4 Pd4'
_cell_length_a 6.5835
_cell_length_b 6.5835
_cell_length_c 6.5835
_cell_angle_alpha 90.00
_cell_angle_beta 90.00
_cell_angle_gamma 90.00
_symmetry_space_group_name_H-M 'F -4 3 m'
_symmetry_Int_Tables_number 216
_symmetry_space_group_name_Hall 'F -4 2 3'
loop_
_atom_site_label
_atom_site_type_symbol
_atom_site_fract_x
_atom_site_fract_y
_atom_site_fract_z
Zr1 Zr 0.0000 0.0000 0.0000
Pa1 Pa 0.2500 0.2500 0.7500
Pd1 Pd 0.0000 0.0000 0.5000
```

Values from the calculation:
The energy of formation is 0.417 eV per atom. Its calculated volume is 285.4 Å³ per cell.